Material: AsBr
Method: DFT, GGA-PBE
State: relaxed

Cell lengths 11.1251, 11.1251, 3.8491 Å; angles 90.00, 90.00, 120.00 degrees
Last column: nearest neighbours and their distance in Å.
Space group P6_3/m (No. 176)
Symmetry-distinct sites (fractional):
As  0.0719  0.8660  0.2500 (multiplicity 6)  1 Br 2.39
Br  0.1579  0.7076  0.2500 (multiplicity 6)  1 As 2.39

Summary:
VASP energy (eV for the cell shown): -38.9
Magnetization (μB per atom): 0.0000

Material: AsBr
Method: DFT, GGA-PBE
State: relaxed

Cell lengths 4.6410, 4.6410, 8.0062 Å; angles 90.00, 90.00, 120.00 degrees
Last column: nearest neighbours and their distance in Å.
Space group P-3m1 (No. 164)
Symmetry-distinct sites (fractional):
As  0.3333  0.6667  0.4953 (multiplicity 2)  1 Br 2.38
Br  0.3333  0.6667  0.1977 (multiplicity 2)  1 As 2.38

Summary:
VASP energy (eV for the cell shown): -13.5
Magnetization (μB per atom): 0.0000

Material: AsBr3
Method: DFT, GGA-PBE
State: relaxed

Cell lengths 4.4815, 11.5026, 13.0793 Å; angles 90.00, 90.00, 90.00 degrees
Last column: nearest neighbours and their distance in Å.
Space group P2_12_12_1 (No. 19)
Symmetry-distinct sites (fractional):
As  0.0260  0.1961  0.2096 (multiplicity 4)  3 Br 2.37-2.38
Br  0.2115  0.6522  0.6255 (multiplicity 4)  1 As 2.37
Br  0.2289  0.8022  0.8712 (multiplicity 4)  1 As 2.38
Br  0.2417  0.9677  0.6332 (multiplicity 4)  1 As 2.37

Summary:
VASP energy (eV for the cell shown): -45.6
Magnetization (μB per atom): 0.0000

Material: As2Br
Method: DFT, GGA-PBE
State: relaxed

Cell lengths 4.3933, 4.3933, 4.8943 Å; angles 90.00, 90.00, 120.00 degrees
Last column: nearest neighbours and their distance in Å.
Space group P6/mmm (No. 191)
Symmetry-distinct sites (fractional):
As  0.3333  0.6667  0.0000 (multiplicity 2)  3 As 2.54
Br  0.0000  0.0000  0.5000 (multiplicity 1)  12 As 3.52

Summary:
VASP energy (eV for the cell shown): -9.8
Magnetization (μB per atom): 0.0000

Material: AsBr
Method: DFT, GGA-PBE
State: relaxed

Cell lengths 3.2583, 15.4638, 5.4357 Å; angles 90.00, 90.00, 90.00 degrees
Last column: nearest neighbours and their distance in Å.
Space group Cmcm (No. 63)
Symmetry-distinct sites (fractional):
As  0.0000  0.0036  0.2500 (multiplicity 4)  1 Br 2.34
Br  0.0000  0.1548  0.2500 (multiplicity 4)  1 As 2.34

Summary:
VASP energy (eV for the cell shown): -25.4
Magnetization (μB per atom): 0.0000

Material: As2Br
Method: DFT, GGA-PBE
State: relaxed

Cell lengths 5.2318, 5.2318, 5.5774 Å; angles 90.00, 90.00, 120.00 degrees
Last column: nearest neighbours and their distance in Å.
Space group P6_3/mmc (No. 194)
Symmetry-distinct sites (fractional):
As  0.0000  0.0000  0.0000 (multiplicity 2)  2 As 2.79
As  0.3333  0.6667  0.2500 (multiplicity 2)  5 Br 2.79-3.02
Br  0.3333  0.6667  0.7500 (multiplicity 2)  5 As 2.79-3.02

Summary:
VASP energy (eV for the cell shown): -17.8
Magnetization (μB per atom): 0.0000

Material: As2Br
Method: DFT, GGA-PBE
State: relaxed

Cell lengths 6.8785, 6.8785, 6.8611 Å; angles 90.00, 90.00, 90.00 degrees
Last column: nearest neighbours and their distance in Å.
Space group I4/mcm (No. 140)
Symmetry-distinct sites (fractional):
As  0.1154  0.3846  0.0000 (multiplicity 8)  1 As 2.25
Br  0.0000  0.0000  0.2500 (multiplicity 4)  8 As 3.25, 2 Br 3.43

Summary:
VASP energy (eV for the cell shown): -38.0
Magnetization (μB per atom): 0.0000

Material: AsBr3
Method: DFT, GGA-PBE
State: relaxed

Cell lengths 9.7445, 9.7445, 5.3449 Å; angles 90.00, 90.00, 90.00 degrees
Last column: nearest neighbours and their distance in Å.
Space group I-42d (No. 122)
Symmetry-distinct sites (fractional):
As  0.0000  0.0000  0.0000 (multiplicity 4)  6 Br 2.67-2.74
Br  0.0000  0.0000  0.5000 (multiplicity 4)  2 As 2.67
Br  0.1089  0.2500  0.1250 (multiplicity 8)  2 As 2.74

Summary:
VASP energy (eV for the cell shown): -40.8
Magnetization (μB per atom): 0.0000

Material: AsBr
Method: DFT, GGA-PBE
State: relaxed

Cell lengths 11.9356, 3.7520, 6.2712 Å; angles 90.00, 95.49, 90.00 degrees
Last column: nearest neighbours and their distance in Å.
Space group C2/m (No. 12)
Symmetry-distinct sites (fractional):
As  0.2165  0.0000  0.3715 (multiplicity 4)  1 Br 2.39, 2 As 2.55
Br  0.1128  0.5000  0.7995 (multiplicity 4)  1 As 2.39

Summary:
VASP energy (eV for the cell shown): -27.1
Magnetization (μB per atom): 0.0000

Material: AsBr
Method: DFT, GGA-PBE
State: relaxed

Cell lengths 5.5795, 5.5795, 11.1589 Å; angles 90.00, 90.00, 120.00 degrees
Last column: nearest neighbours and their distance in Å.
Space group P6_3/mmc (No. 194)
Symmetry-distinct sites (fractional):
As  0.3333  0.6667  0.1520 (multiplicity 4)  1 As 2.19
Br  0.0000  0.0000  0.2500 (multiplicity 2)  3 Br 3.22, 6 As 3.40
Br  0.3333  0.6667  0.7500 (multiplicity 2)  3 Br 3.22, 6 As 3.40

Summary:
VASP energy (eV for the cell shown): -20.9
Magnetization (μB per atom): 0.0000

Material: AsBr4
Method: DFT, GGA-PBE
State: relaxed

Cell lengths 6.5671, 6.5671, 10.7958 Å; angles 90.00, 90.00, 90.00 degrees
Last column: nearest neighbours and their distance in Å.
Space group P-42_1c (No. 114)
Symmetry-distinct sites (fractional):
As  0.0000  0.0000  0.0000 (multiplicity 2)  4 Br 2.41
Br  0.2081  0.2132  0.8699 (multiplicity 8)  1 As 2.41

Summary:
VASP energy (eV for the cell shown): -25.3
Magnetization (μB per atom): 0.2087

Material: As2Br
Method: DFT, GGA-PBE
State: relaxed

Cell lengths 3.6822, 3.6822, 11.8928 Å; angles 90.00, 90.00, 90.00 degrees
Last column: nearest neighbours and their distance in Å.
Space group I4/mmm (No. 139)
Symmetry-distinct sites (fractional):
As  0.0000  0.0000  0.2213 (multiplicity 4)  1 Br 2.63, 4 As 2.69
Br  0.0000  0.0000  0.0000 (multiplicity 2)  2 As 2.63

Summary:
VASP energy (eV for the cell shown): -21.4
Magnetization (μB per atom): 0.0000

Material: AsBr3
Method: DFT, GGA-PBE
State: relaxed

Cell lengths 5.1564, 5.1564, 3.6848 Å; angles 90.00, 90.00, 90.00 degrees
Last column: nearest neighbours and their distance in Å.
Space group P4/mmm (No. 123)
Symmetry-distinct sites (fractional):
As  0.0000  0.0000  0.0000 (multiplicity 1)  8 Br 3.17
Br  0.0000  0.5000  0.5000 (multiplicity 2)  4 As 3.17, 4 Br 3.17
Br  0.5000  0.5000  0.0000 (multiplicity 1)  8 Br 3.17

Summary:
VASP energy (eV for the cell shown): -7.2
Magnetization (μB per atom): 0.0000

Material: AsBr
Method: DFT, GGA-PBE
State: relaxed

Cell lengths 5.8872, 5.8872, 5.8872 Å; angles 90.00, 90.00, 90.00 degrees
Last column: nearest neighbours and their distance in Å.
Space group Fm-3m (No. 225)
Symmetry-distinct sites (fractional):
As  0.0000  0.0000  0.0000 (multiplicity 4)  6 Br 2.94
Br  0.0000  0.0000  0.5000 (multiplicity 4)  6 As 2.94

Summary:
VASP energy (eV for the cell shown): -20.5
Magnetization (μB per atom): 0.0000

Material: As2Br
Method: DFT, GGA-PBE
State: relaxed

Cell lengths 4.8263, 4.8263, 3.1736 Å; angles 90.00, 90.00, 120.00 degrees
Last column: nearest neighbours and their distance in Å.
Space group P6/mmm (No. 191)
Symmetry-distinct sites (fractional):
As  0.3333  0.6667  0.0000 (multiplicity 2)  3 As 2.79
Br  0.0000  0.0000  0.5000 (multiplicity 1)  2 Br 3.17, 12 As 3.21

Summary:
VASP energy (eV for the cell shown): -9.8
Magnetization (μB per atom): 0.0000

Material: AsBr3
Method: DFT, GGA-PBE
State: relaxed

Cell lengths 3.3315, 3.3315, 10.0458 Å; angles 90.00, 90.00, 90.00 degrees
Last column: nearest neighbours and their distance in Å.
Space group P4/mmm (No. 123)
Symmetry-distinct sites (fractional):
As  0.0000  0.0000  0.0000 (multiplicity 1)  8 Br 2.93
Br  0.0000  0.0000  0.5000 (multiplicity 1)  4 Br 3.33
Br  0.5000  0.5000  0.1732 (multiplicity 2)  4 As 2.93

Summary:
VASP energy (eV for the cell shown): -8.5
Magnetization (μB per atom): 0.0000

Material: AsBr
Method: DFT, GGA-PBE
State: relaxed

Cell lengths 12.7030, 6.8587, 7.4325 Å; angles 90.00, 90.00, 90.00 degrees
Last column: nearest neighbours and their distance in Å.
Space group Pnma (No. 62)
Symmetry-distinct sites (fractional):
As  0.0743  0.2500  0.0835 (multiplicity 4)  1 As 2.29, 1 Br 2.39
As  0.1431  0.2500  0.7984 (multiplicity 4)  1 As 2.29, 1 Br 2.38
Br  0.0258  0.7500  0.3406 (multiplicity 4)  1 As 2.38
Br  0.2426  0.2500  0.2284 (multiplicity 4)  1 As 2.39

Summary:
VASP energy (eV for the cell shown): -51.4
Magnetization (μB per atom): 0.0000

Material: AsBr3
Method: DFT, GGA-PBE
State: relaxed

Cell lengths 8.7636, 8.7636, 7.0912 Å; angles 90.00, 90.00, 120.00 degrees
Last column: nearest neighbours and their distance in Å.
Space group P6_3/mmc (No. 194)
Symmetry-distinct sites (fractional):
As  0.0000  0.0000  0.0000 (multiplicity 2)  6 Br 2.66
As  0.3333  0.6667  0.2500 (multiplicity 2)  6 Br 3.09
Br  0.0000  0.5000  0.0000 (multiplicity 6)  2 As 3.09, 4 Br 3.35
Br  0.1305  0.2611  0.7500 (multiplicity 6)  2 As 2.66

Summary:
VASP energy (eV for the cell shown): -36.7
Magnetization (μB per atom): 0.0000

Material: AsBr3
Method: DFT, GGA-PBE
State: relaxed

Cell lengths 10.6603, 10.6603, 3.5797 Å; angles 90.00, 90.00, 120.00 degrees
Last column: nearest neighbours and their distance in Å.
Space group P6_3/mmc (No. 194)
Symmetry-distinct sites (fractional):
As  0.3333  0.6667  0.2500 (multiplicity 2)  6 Br 2.71
Br  0.2232  0.4463  0.7500 (multiplicity 6)  2 As 2.71

Summary:
VASP energy (eV for the cell shown): -21.7
Magnetization (μB per atom): 0.0000

Material: As2Br
Method: DFT, GGA-PBE
State: relaxed

Cell lengths 3.7605, 3.7605, 5.9358 Å; angles 90.00, 90.00, 120.00 degrees
Last column: nearest neighbours and their distance in Å.
Space group P-3m1 (No. 164)
Symmetry-distinct sites (fractional):
As  0.3333  0.6667  0.1117 (multiplicity 2)  3 As 2.54
Br  0.0000  0.0000  0.5000 (multiplicity 1)  6 As 3.17

Summary:
VASP energy (eV for the cell shown): -11.1
Magnetization (μB per atom): 0.0000

Material: As2Br
Method: DFT, GGA-PBE
State: relaxed

Cell lengths 6.0408, 6.1361, 6.8122 Å; angles 90.00, 90.00, 90.00 degrees
Last column: nearest neighbours and their distance in Å.
Space group Pnnm (No. 58)
Symmetry-distinct sites (fractional):
As  0.0883  0.1573  0.0000 (multiplicity 4)  1 As 2.21
Br  0.0000  0.5000  0.5000 (multiplicity 2)  2 As 2.67

Summary:
VASP energy (eV for the cell shown): -20.1
Magnetization (μB per atom): 0.0000

Material: AsBr
Method: DFT, GGA-PBE
State: relaxed

Cell lengths 8.0831, 8.0831, 8.0831 Å; angles 90.00, 90.00, 90.00 degrees
Last column: nearest neighbours and their distance in Å.
Space group Pm-3n (No. 223)
Symmetry-distinct sites (fractional):
As  0.0000  0.2500  0.5000 (multiplicity 6)  4 Br 2.86
Br  0.0000  0.5000  0.2500 (multiplicity 6)  4 As 2.86

Summary:
VASP energy (eV for the cell shown): -27.6
Magnetization (μB per atom): 0.0002

Material: AsBr
Method: DFT, GGA-PBE
State: relaxed

Cell lengths 14.1296, 3.8762, 8.5518 Å; angles 90.00, 123.25, 90.00 degrees
Last column: nearest neighbours and their distance in Å.
Space group Cm (No. 8)
Symmetry-distinct sites (fractional):
As  0.0000  0.0000  0.0000 (multiplicity 2)  1 As 2.36
As  0.1026  0.0000  0.8556 (multiplicity 2)  1 As 2.36
As  0.3707  0.0000  0.7685 (multiplicity 2)  1 Br 2.50, 2 As 2.65
Br  0.1983  0.5000  0.5321 (multiplicity 2)  2 As 2.89
Br  0.2479  0.5000  0.0637 (multiplicity 2)  2 As 2.67
Br  0.4430  0.0000  0.5595 (multiplicity 2)  1 As 2.50

Summary:
VASP energy (eV for the cell shown): -38.9
Magnetization (μB per atom): 0.0000

Material: AsBr4
Method: DFT, GGA-PBE
State: relaxed

Cell lengths 5.3152, 5.3152, 5.3152 Å; angles 90.00, 90.00, 90.00 degrees
Last column: nearest neighbours and their distance in Å.
Space group Pm-3m (No. 221)
Symmetry-distinct sites (fractional):
As  0.0000  0.0000  0.0000 (multiplicity 1)  6 Br 2.66
Br  0.0000  0.0000  0.5000 (multiplicity 3)  2 As 2.66
Br  0.5000  0.5000  0.5000 (multiplicity 1)  12 Br 3.76

Summary:
VASP energy (eV for the cell shown): -11.0
Magnetization (μB per atom): 0.2076

Material: AsBr
Method: DFT, GGA-PBE
State: relaxed

Cell lengths 3.7754, 5.1077, 7.5643 Å; angles 90.00, 90.00, 90.00 degrees
Last column: nearest neighbours and their distance in Å.
Space group Pmma (No. 51)
Symmetry-distinct sites (fractional):
As  0.2500  0.0000  0.1138 (multiplicity 2)  2 As 2.56, 2 Br 2.66
Br  0.2500  0.5000  0.2133 (multiplicity 2)  2 As 2.66

Summary:
VASP energy (eV for the cell shown): -13.3
Magnetization (μB per atom): 0.0000

Material: As7Br
Method: DFT, GGA-PBE
State: relaxed

Cell lengths 8.6234, 8.6234, 8.6234 Å; angles 90.00, 90.00, 90.00 degrees
Last column: nearest neighbours and their distance in Å.
Space group Fm-3m (No. 225)
Symmetry-distinct sites (fractional):
As  0.0000  0.0000  0.0000 (multiplicity 4)  12 As 3.05
As  0.0000  0.2500  0.2500 (multiplicity 24)  10 As 3.05, 2 Br 3.05
Br  0.0000  0.0000  0.5000 (multiplicity 4)  12 As 3.05

Summary:
VASP energy (eV for the cell shown): -116.7
Magnetization (μB per atom): 0.0000